The following is a PBE calculation of a relaxed structure of Cs3Ac3InS8, from Alexandria via LeMat-Bulk.

a = 9.638 Å, b = 9.638 Å, c = 9.638 Å
α = 53.87°, β = 53.87°, γ = 53.87°
Positions (direct):
Cs 0.000 0.500 0.500
Cs 0.500 0.000 0.500
Cs 0.500 0.500 0.000
Ac 0.000 0.000 0.500
Ac 0.000 0.500 0.000
Ac 0.500 0.000 0.000
In 0.500 0.500 0.500
S 0.231 0.231 0.231
S 0.255 0.712 0.712
S 0.288 0.288 0.745
S 0.288 0.745 0.288
S 0.712 0.255 0.712
S 0.712 0.712 0.255
S 0.745 0.288 0.288
S 0.769 0.769 0.769

Uncorrected formation energy = -1.476 eV/atom
Total moment = 1.2 μB/f.u.